1.
# LiMoP (GGA-PBE, relaxed)
data_LiMoP
_chemical_formula_sum 'Li1 Mo1 P1'
_cell_length_a 4.026
_cell_length_b 4.026
_cell_length_c 4.026
_cell_angle_alpha 60.00
_cell_angle_beta 60.00
_cell_angle_gamma 60.00
_space_group_name_H-M_alt 'P 1'
_space_group_IT_number 1
_space_group_name_Hall 'P 1'
loop_
_atom_site_label
_atom_site_type_symbol
_atom_site_fract_x
_atom_site_fract_y
_atom_site_fract_z
_atom_site_occupancy
Li1 Li 0.500 0.500 0.500 1
Mo1 Mo 0.750 0.750 0.750 1
P1 P 0.000 0.000 0.000 1
# V = 15.382 A^3/atom
# size of the total moment = 0.47 μB per formula unit
# crystal system = cubic
# excess energy over the best structure of this formula in the dataset = 220 kJ/mol of formula units
# formation energy = 0.2543 eV per atom
# SG = F-43m
# calculated total energy = -5.80 eV/atom

2.
# LiPN3 (GGA-PBE, relaxed)
data_LiPN3
_chemical_formula_sum 'Li1 P1 N3'
_cell_length_a 3.575
_cell_length_b 3.575
_cell_length_c 3.575
_cell_angle_alpha 90.00
_cell_angle_beta 90.00
_cell_angle_gamma 90.00
_space_group_name_H-M_alt 'P 1'
_space_group_IT_number 1
_space_group_name_Hall 'P 1'
loop_
_atom_site_label
_atom_site_type_symbol
_atom_site_fract_x
_atom_site_fract_y
_atom_site_fract_z
_atom_site_occupancy
P1 P 0.500 0.500 0.500 1
Li1 Li 0.000 0.000 0.000 1
N1 N 0.000 0.500 0.000 1
N2 N 0.000 0.000 0.500 1
N3 N 0.500 0.000 0.000 1
# V = 9.140 A^3/atom
# size of the total moment = 1.84 μB per formula unit
# crystal system = cubic
# SG = Pm-3m
# ΔE_f (raw) = 2.42 eV/atom
# calculated total energy = -4.04 eV/atom

3.
# Te2As3 (GGA-PBE, relaxed)
data_Te2As3
_chemical_formula_sum 'Te4 As6'
_cell_length_a 9.529
_cell_length_b 7.745
_cell_length_c 6.999
_cell_angle_alpha 80.36
_cell_angle_beta 53.25
_cell_angle_gamma 46.40
_space_group_name_H-M_alt 'P 1'
_space_group_IT_number 1
_space_group_name_Hall 'P 1'
loop_
_atom_site_label
_atom_site_type_symbol
_atom_site_fract_x
_atom_site_fract_y
_atom_site_fract_z
_atom_site_occupancy
Te1 Te 0.670 0.206 0.971 1
Te2 Te 0.153 0.971 0.206 1
Te3 Te 0.279 0.097 0.580 1
Te4 Te 0.044 0.580 0.097 1
As1 As 0.752 0.611 0.089 1
As2 As 0.547 0.089 0.611 1
As3 As 0.161 0.703 0.498 1
As4 As 0.639 0.498 0.703 1
As5 As 0.878 0.622 0.622 1
As6 As 0.628 0.372 0.372 1
# V = 27.164 A^3/atom
# size of the total moment = 0.00 μB per formula unit
# crystal system = orthorhombic
# excess energy over the best structure of this formula in the dataset = 0 kJ/mol of formula units
# SG = Fdd2
# ΔE_f (raw) = 0.16 eV/atom
# calculated total energy = -3.88 eV/atom

4.
# Th8AsIr3Se4 (GGA-PBE, relaxed)
data_Th8AsIr3Se4
_chemical_formula_sum 'Th8 As1 Ir3 Se4'
_cell_length_a 8.361
_cell_length_b 8.621
_cell_length_c 8.361
_cell_angle_alpha 119.01
_cell_angle_beta 120.00
_cell_angle_gamma 90.00
_space_group_name_H-M_alt 'P 1'
_space_group_IT_number 1
_space_group_name_Hall 'P 1'
loop_
_atom_site_label
_atom_site_type_symbol
_atom_site_fract_x
_atom_site_fract_y
_atom_site_fract_z
_atom_site_occupancy
Th1 Th 0.248 0.730 0.982 1
Th2 Th 0.248 0.730 0.496 1
Th3 Th 0.261 0.284 0.523 1
Th4 Th 0.735 0.730 0.982 1
Th5 Th 0.265 0.270 0.018 1
Th6 Th 0.739 0.716 0.477 1
Th7 Th 0.752 0.270 0.504 1
Th8 Th 0.752 0.270 0.018 1
As1 As 0.000 0.500 0.000 1
Ir1 Ir 0.500 0.500 0.000 1
Ir2 Ir 0.500 0.500 0.500 1
Ir3 Ir 0.000 0.500 0.500 1
Se1 Se 0.500 0.000 0.000 1
Se2 Se 0.500 0.000 0.500 1
Se3 Se 0.000 0.000 0.000 1
Se4 Se 0.000 0.000 0.500 1
# V = 27.028 A^3/atom
# size of the total moment = 0.00 μB per formula unit
# crystal system = trigonal
# SG = R-3m
# ΔE_f (raw) = -1.33 eV/atom
# calculated total energy = -7.86 eV/atom

5.
# Pm3HoTl3 (GGA-PBE, relaxed)
data_Pm3HoTl3
_chemical_formula_sum 'Pm6 Ho2 Tl6'
_cell_length_a 5.315
_cell_length_b 9.584
_cell_length_c 9.584
_cell_angle_alpha 120.00
_cell_angle_beta 90.00
_cell_angle_gamma 90.00
_space_group_name_H-M_alt 'P 1'
_space_group_IT_number 1
_space_group_name_Hall 'P 1'
loop_
_atom_site_label
_atom_site_type_symbol
_atom_site_fract_x
_atom_site_fract_y
_atom_site_fract_z
_atom_site_occupancy
Pm1 Pm 0.750 0.760 0.762 1
Pm2 Pm 0.750 0.238 0.998 1
Pm3 Pm 0.750 0.002 0.240 1
Pm4 Pm 0.250 0.240 0.238 1
Pm5 Pm 0.250 0.762 0.002 1
Pm6 Pm 0.250 0.998 0.760 1
Ho1 Ho 0.250 0.667 0.333 1
Ho2 Ho 0.750 0.333 0.667 1
Tl1 Tl 0.250 0.547 0.619 1
Tl2 Tl 0.250 0.381 0.928 1
Tl3 Tl 0.250 0.072 0.453 1
Tl4 Tl 0.750 0.453 0.381 1
Tl5 Tl 0.750 0.619 0.072 1
Tl6 Tl 0.750 0.928 0.547 1
# V = 30.202 A^3/atom
# size of the total moment = 0.00 μB per formula unit
# crystal system = hexagonal
# excess energy over the best structure of this formula in the dataset = 46 kJ/mol of formula units
# formation energy = -0.2034 eV per atom
# SG = P6_3/m
# calculated total energy = -3.91 eV/atom

6.
# Tm2SnPd8 (GGA-PBE, relaxed)
data_Tm2SnPd8
_chemical_formula_sum 'Tm2 Sn1 Pd8'
_cell_length_a 4.652
_cell_length_b 5.974
_cell_length_c 8.095
_cell_angle_alpha 111.75
_cell_angle_beta 106.70
_cell_angle_gamma 90.00
_space_group_name_H-M_alt 'P 1'
_space_group_IT_number 1
_space_group_name_Hall 'P 1'
loop_
_atom_site_label
_atom_site_type_symbol
_atom_site_fract_x
_atom_site_fract_y
_atom_site_fract_z
_atom_site_occupancy
Tm1 Tm 0.811 0.311 0.622 1
Tm2 Tm 0.189 0.689 0.378 1
Sn1 Sn 0.500 0.000 0.000 1
Pd1 Pd 0.358 0.594 0.715 1
Pd2 Pd 0.642 0.878 0.284 1
Pd3 Pd 0.820 0.820 0.640 1
Pd4 Pd 0.000 0.258 0.000 1
Pd5 Pd 0.180 0.180 0.360 1
Pd6 Pd 0.358 0.122 0.716 1
Pd7 Pd 0.642 0.406 0.285 1
Pd8 Pd 0.000 0.742 0.000 1
# V = 18.065 A^3/atom
# size of the total moment = 0.00 μB per formula unit
# crystal system = monoclinic
# formation energy = -0.6828 eV per atom
# SG = C2/m
# calculated total energy = -5.64 eV/atom

7.
# LiTlGaIr (GGA-PBE, relaxed)
data_LiTlGaIr
_chemical_formula_sum 'Li1 Tl1 Ga1 Ir1'
_cell_length_a 4.561
_cell_length_b 4.561
_cell_length_c 4.561
_cell_angle_alpha 60.00
_cell_angle_beta 60.00
_cell_angle_gamma 60.00
_space_group_name_H-M_alt 'P 1'
_space_group_IT_number 1
_space_group_name_Hall 'P 1'
loop_
_atom_site_label
_atom_site_type_symbol
_atom_site_fract_x
_atom_site_fract_y
_atom_site_fract_z
_atom_site_occupancy
Tl1 Tl 0.750 0.750 0.750 1
Ir1 Ir 0.000 0.000 0.000 1
Ga1 Ga 0.250 0.250 0.250 1
Li1 Li 0.500 0.500 0.500 1
# V = 16.774 A^3/atom
# size of the total moment = 0.00 μB per formula unit
# crystal system = cubic
# formation energy = -0.1298 eV per atom
# SG = F-43m
# calculated total energy = -4.17 eV/atom

8.
# Cs2Dy2PaTe6 (GGA-PBE, relaxed)
data_Cs2Dy2PaTe6
_chemical_formula_sum 'Cs2 Dy2 Pa1 Te6'
_cell_length_a 7.730
_cell_length_b 7.730
_cell_length_c 9.555
_cell_angle_alpha 97.82
_cell_angle_beta 97.82
_cell_angle_gamma 120.01
_space_group_name_H-M_alt 'P 1'
_space_group_IT_number 1
_space_group_name_Hall 'P 1'
loop_
_atom_site_label
_atom_site_type_symbol
_atom_site_fract_x
_atom_site_fract_y
_atom_site_fract_z
_atom_site_occupancy
Cs1 Cs 0.833 0.167 0.000 1
Cs2 Cs 0.167 0.833 0.000 1
Dy1 Dy 0.333 0.667 0.500 1
Dy2 Dy 0.667 0.333 0.500 1
Pa1 Pa 0.000 0.000 0.500 1
Te1 Te 0.730 0.730 0.688 1
Te2 Te 0.065 0.396 0.689 1
Te3 Te 0.270 0.270 0.312 1
Te4 Te 0.396 0.065 0.689 1
Te5 Te 0.935 0.604 0.311 1
Te6 Te 0.604 0.935 0.311 1
# V = 43.246 A^3/atom
# size of the total moment = 1.05 μB per formula unit
# crystal system = monoclinic
# SG = C2/m
# ΔE_f (raw) = -1.25 eV/atom
# calculated total energy = -4.82 eV/atom

9.
# ScVGe2 (GGA-PBE, relaxed)
data_ScVGe2
_chemical_formula_sum 'Sc1 V1 Ge2'
_cell_length_a 4.599
_cell_length_b 4.599
_cell_length_c 4.599
_cell_angle_alpha 60.00
_cell_angle_beta 60.00
_cell_angle_gamma 60.00
_space_group_name_H-M_alt 'P 1'
_space_group_IT_number 1
_space_group_name_Hall 'P 1'
loop_
_atom_site_label
_atom_site_type_symbol
_atom_site_fract_x
_atom_site_fract_y
_atom_site_fract_z
_atom_site_occupancy
Sc1 Sc 0.000 0.000 0.000 1
Ge1 Ge 0.250 0.250 0.250 1
Ge2 Ge 0.750 0.750 0.750 1
V1 V 0.500 0.500 0.500 1
# V = 17.198 A^3/atom
# size of the total moment = 2.55 μB per formula unit
# crystal system = cubic
# excess energy over the best structure of this formula in the dataset = 46 kJ/mol of formula units
# formation energy = -0.2511 eV per atom
# SG = Fm-3m
# calculated total energy = -6.42 eV/atom

10.
# Th3Se4 (GGA-PBE, relaxed)
data_Th3Se4
_chemical_formula_sum 'Th3 Se4'
_cell_length_a 4.214
_cell_length_b 4.214
_cell_length_c 14.289
_cell_angle_alpha 81.52
_cell_angle_beta 81.52
_cell_angle_gamma 60.00
_space_group_name_H-M_alt 'P 1'
_space_group_IT_number 1
_space_group_name_Hall 'P 1'
loop_
_atom_site_label
_atom_site_type_symbol
_atom_site_fract_x
_atom_site_fract_y
_atom_site_fract_z
_atom_site_occupancy
Th1 Th 0.500 0.500 0.500 1
Th2 Th 0.587 0.587 0.239 1
Th3 Th 0.413 0.413 0.761 1
Se1 Se 0.709 0.709 0.872 1
Se2 Se 0.876 0.876 0.371 1
Se3 Se 0.291 0.291 0.128 1
Se4 Se 0.124 0.124 0.629 1
# V = 30.936 A^3/atom
# size of the total moment = 0.00 μB per formula unit
# crystal system = trigonal
# excess energy over the best structure of this formula in the dataset = 74 kJ/mol of formula units
# SG = R-3m
# ΔE_f (raw) = -1.49 eV/atom
# calculated total energy = -6.66 eV/atom

11.
# CdP2RhS (GGA-PBE, relaxed)
data_CdP2RhS
_chemical_formula_sum 'Cd1 P2 Rh1 S1'
_cell_length_a 4.841
_cell_length_b 4.841
_cell_length_c 4.885
_cell_angle_alpha 90.00
_cell_angle_beta 90.00
_cell_angle_gamma 90.00
_space_group_name_H-M_alt 'P 1'
_space_group_IT_number 1
_space_group_name_Hall 'P 1'
loop_
_atom_site_label
_atom_site_type_symbol
_atom_site_fract_x
_atom_site_fract_y
_atom_site_fract_z
_atom_site_occupancy
P1 P 0.000 0.500 0.000 1
P2 P 0.500 0.000 0.000 1
S1 S 0.000 0.000 0.500 1
Rh1 Rh 0.500 0.500 0.500 1
Cd1 Cd 0.000 0.000 0.000 1
# V = 22.895 A^3/atom
# size of the total moment = 0.44 μB per formula unit
# crystal system = tetragonal
# excess energy over the best structure of this formula in the dataset = 538 kJ/mol of formula units
# SG = P4/mmm
# ΔE_f (raw) = 1.53 eV/atom
# calculated total energy = -3.12 eV/atom

12.
# La3AuC (GGA-PBE, relaxed)
data_La3AuC
_chemical_formula_sum 'La6 Au2 C2'
_cell_length_a 5.441
_cell_length_b 5.441
_cell_length_c 12.307
_cell_angle_alpha 77.23
_cell_angle_beta 77.23
_cell_angle_gamma 90.00
_space_group_name_H-M_alt 'P 1'
_space_group_IT_number 1
_space_group_name_Hall 'P 1'
loop_
_atom_site_label
_atom_site_type_symbol
_atom_site_fract_x
_atom_site_fract_y
_atom_site_fract_z
_atom_site_occupancy
C1 C 0.653 0.153 0.694 1
C2 C 0.847 0.347 0.306 1
Au1 Au 0.000 0.000 0.000 1
Au2 Au 0.250 0.750 0.500 1
La1 La 0.126 0.881 0.237 1
La2 La 0.119 0.874 0.763 1
La3 La 0.119 0.363 0.763 1
La4 La 0.637 0.881 0.237 1
La5 La 0.297 0.297 0.406 1
La6 La 0.703 0.703 0.594 1
# V = 34.603 A^3/atom
# size of the total moment = 0.00 μB per formula unit
# crystal system = tetragonal
# excess energy over the best structure of this formula in the dataset = 584 kJ/mol of formula units
# formation energy = 0.8303 eV per atom
# SG = I-4m2
# calculated total energy = -4.63 eV/atom

Which of these has the lowest calculated total energy? Th8AsIr3Se4

Which value of size of the total moment does entry 4 give? 0.00 μB per formula unit